Record 1
An optimized crystal structure of Re3Tc2Rh. Source: Alexandria via LeMat-Bulk, functional GGA-PBE.

abc: 2.746 7.280 9.561
angles: 109.19 90.02 100.83
Space group P-1 (No. 2)
One atom of each set of equivalent atoms:
Re1 0.082 0.168 0.377 [2 per cell]
Re2 0.083 0.169 0.876 [2 per cell]
Re3 0.415 0.831 0.376 [2 per cell]
Tc1 0.251 0.500 0.626 [2 per cell]
Tc2 0.253 0.503 0.125 [2 per cell]
Rh1 0.416 0.834 0.876 [2 per cell]

Results
Spin magnetization = 0.00 μB/cell
Formation enthalpy at 0 K = 1.8 kJ/mol of atoms
N(E_F) = 0.961 states/eV per atom

Record 2
An optimized crystal structure of Be3InPd. Source: Alexandria via LeMat-Bulk, functional GGA-PBE.

abc: 4.308 4.308 4.308
angles: 90.00 90.00 90.00
Space group Pm-3m (No. 221)
One atom of each set of equivalent atoms:
Be1 0.000 0.000 0.500 [3 per cell]
In1 0.500 0.500 0.500 [1 per cell]
Pd1 0.000 0.000 0.000 [1 per cell]

Results
Spin magnetization = 0.00 μB/cell
Formation enthalpy at 0 K = 35.0 kJ/mol of atoms
N(E_F) = 0.295 states/eV per atom
E above lowest polymorph = 0.0 kJ/mol of formula units

Record 3
An optimized crystal structure of CoTc2Ru. Source: Alexandria via LeMat-Bulk, functional GGA-PBE.

abc: 4.583 2.694 4.622
angles: 90.00 108.97 90.00
Space group P2/m (No. 10)
One atom of each set of equivalent atoms:
Co1 0.000 0.000 0.000 [1 per cell]
Tc1 0.000 0.500 0.500 [1 per cell]
Tc2 0.500 0.000 0.500 [1 per cell]
Ru1 0.500 0.500 0.000 [1 per cell]

Results
Spin magnetization = 0.04 μB/cell
Formation enthalpy at 0 K = 12.4 kJ/mol of atoms
N(E_F) = 1.423 states/eV per atom
E above lowest polymorph = 63.2 kJ/mol of formula units

Record 4
An optimized crystal structure of Pm3NdTe6. Source: Alexandria via LeMat-Bulk, functional GGA-PBE.

abc: 7.9211 7.9211 21.5173
angles: 90.00 90.00 120.00
Space group R3 (No. 146, hexagonal axes)
One atom of each set of equivalent atoms:
Pm1 0.0000 0.0000 0.0000 [3 per cell]
Pm2 0.0000 0.0000 0.1904 [3 per cell]
Pm3 0.0000 0.0000 0.6902 [3 per cell]
Nd1 0.0000 0.0000 0.4997 [3 per cell]
Te1 0.0241 0.6678 0.2624 [9 per cell]
Te2 0.0266 0.3573 0.7619 [9 per cell]

Results
Spin magnetization = 0.00 μB/cell
E above lowest polymorph = 41.9 kJ/mol of formula units
ΔE_f (raw) = -1383 meV per atom

Record 5
An optimized crystal structure of Cd3Cu. Source: Alexandria via LeMat-Bulk, functional GGA-PBE.

abc: 7.544 8.352 5.117
angles: 90.00 90.00 90.00
Space group Pnma (No. 62)
One atom of each set of equivalent atoms:
Cd1 0.015 0.250 0.092 [4 per cell]
Cd2 0.172 0.060 0.601 [8 per cell]
Cu1 0.134 0.750 0.423 [4 per cell]

Results
Spin magnetization = 0.00 μB/cell
Formation enthalpy at 0 K = 2.2 kJ/mol of atoms
N(E_F) = 0.298 states/eV per atom

Record 6
An optimized crystal structure of SrPtBr4. Source: Alexandria via LeMat-Bulk, functional GGA-PBE.

abc: 7.283 7.283 7.813
angles: 90.00 90.00 90.00
Space group I-4 (No. 82)
One atom of each set of equivalent atoms:
Sr1 0.000 0.000 0.000 [2 per cell]
Pt1 0.000 0.500 0.750 [2 per cell]
Br1 0.238 0.260 0.749 [8 per cell]

Results
Spin magnetization = 0.00 μB/cell
E above lowest polymorph = 0.0 kJ/mol of formula units
ΔE_f (raw) = -1125 meV per atom

Record 7
An optimized crystal structure of CdTcHgOs. Source: Alexandria via LeMat-Bulk, functional GGA-PBE.

abc: 3.089 4.603 5.723
angles: 79.37 74.37 70.52
Space group P1 (No. 1)
One atom of each set of equivalent atoms:
Cd1 0.000 0.000 0.000 [1 per cell]
Tc1 0.753 0.928 0.567 [1 per cell]
Hg1 0.164 0.414 0.262 [1 per cell]
Os1 0.406 0.484 0.704 [1 per cell]

Results
Spin magnetization = 0.00 μB/cell
Formation enthalpy at 0 K = 52.4 kJ/mol of atoms
N(E_F) = 0.557 states/eV per atom
E above lowest polymorph = 123.9 kJ/mol of formula units

Record 8
An optimized crystal structure of Na3SrN. Source: Alexandria via LeMat-Bulk, functional GGA-PBE.

abc: 6.672 6.672 6.672
angles: 90.00 90.00 90.00
Space group Pm-3m (No. 221)
One atom of each set of equivalent atoms:
Na1 0.000 0.000 0.500 [3 per cell]
Sr1 0.000 0.000 0.000 [1 per cell]
N1 0.500 0.500 0.500 [1 per cell]

Results
Spin magnetization = 0.00 μB/cell
N(E_F) = 0.886 states/eV per atom
E above lowest polymorph = 682.6 kJ/mol of formula units
ΔE_f (raw) = 1827 meV per atom

Record 9
An optimized crystal structure of Pr2HI. Source: Alexandria via LeMat-Bulk, functional GGA-PBE.

abc: 3.8811 3.8811 23.6409
angles: 90.00 90.00 120.00
Space group R-3m (No. 166, hexagonal axes)
One atom of each set of equivalent atoms:
Pr1 0.0000 0.0000 0.2264 [6 per cell]
H1 0.0000 0.0000 0.5000 [3 per cell]
I1 0.0000 0.0000 0.0000 [3 per cell]

Results
Spin magnetization = 0.00 μB/cell
N(E_F) = 0.495 states/eV per atom
E above lowest polymorph = 0.0 kJ/mol of formula units

Record 10
An optimized crystal structure of Tb8NdSm4. Source: Alexandria via LeMat-Bulk, functional GGA-PBE.

abc: 11.0729 11.0729 13.5415
angles: 90.00 90.00 120.00
Space group R-3m (No. 166, hexagonal axes)
One atom of each set of equivalent atoms:
Tb1 0.0000 0.0000 0.2389 [6 per cell]
Tb2 0.0145 0.5073 0.7463 [18 per cell]
Nd1 0.0000 0.0000 0.5000 [3 per cell]
Sm1 0.0000 0.0000 0.0000 [3 per cell]
Sm2 0.0000 0.5000 0.0000 [9 per cell]

Results
Spin magnetization = 3.95 μB/cell
Formation enthalpy at 0 K = 48.9 kJ/mol of atoms
N(E_F) = 1.518 states/eV per atom

Record 11
An optimized crystal structure of KTc. Source: Alexandria via LeMat-Bulk, functional GGA-PBE.

abc: 15.221 3.147 8.236
angles: 90.00 90.00 90.00
Space group Pmn2_1 (No. 31)
One atom of each set of equivalent atoms:
K1 0.000 0.241 0.000 [2 per cell]
K2 0.215 0.752 0.692 [4 per cell]
Tc1 0.000 0.244 0.544 [2 per cell]
Tc2 0.079 0.744 0.371 [4 per cell]

Results
Spin magnetization = 0.00 μB/cell
Formation enthalpy at 0 K = 95.9 kJ/mol of atoms
N(E_F) = 0.767 states/eV per atom
E above lowest polymorph = 45.9 kJ/mol of formula units

Record 12
An optimized crystal structure of SeIBr5. Source: Alexandria via LeMat-Bulk, functional GGA-PBE.

abc: 8.393 8.767 11.125
angles: 85.77 74.33 61.51
Space group P-1 (No. 2)
One atom of each set of equivalent atoms:
Se1 0.058 0.296 0.155 [2 per cell]
I1 0.500 0.000 0.500 [1 per cell]
I2 0.500 0.500 0.000 [1 per cell]
Br1 0.019 0.044 0.169 [2 per cell]
Br2 0.123 0.610 0.079 [2 per cell]
Br3 0.242 0.490 0.711 [2 per cell]
Br4 0.256 0.215 0.294 [2 per cell]
Br5 0.417 0.756 0.442 [2 per cell]

Results
Spin magnetization = 0.00 μB/cell
ΔE_f (raw) = -106 meV per atom